## BeSiSe2 (GGA-PBE)

Data for a relaxed structure of BeSiSe2.

Geometry as POSCAR:
```
BeSiSe2
1.0
3.240 0.000 0.000
0.000 3.240 0.000
0.000 0.000 6.369
Be Si Se
1 1 2
Direct
0.000 0.000 0.000
0.000 0.000 0.500
0.500 0.500 0.230
0.500 0.500 0.770
```

Values from the calculation:
Density (g cm⁻³): 4.843
Formation energy (no corrections) (eV/atom): 0.488
Energy relative to the lowest polymorph listed for this composition (eV/f.u.): 3.58
DFT total energy (eV per atom): -3.542

## BeSi2Se (GGA-PBE)

Data for a relaxed structure of BeSi2Se.

Geometry as POSCAR:
```
BeSi2Se
1.0
3.258 0.000 0.000
0.000 3.258 0.000
0.000 0.000 5.715
Be Si Se
1 2 1
Direct
0.000 0.000 0.000
0.500 0.500 0.211
0.500 0.500 0.789
0.000 0.000 0.500
```

Values from the calculation:
Density (g cm⁻³): 3.945
Formation energy (no corrections) (eV/atom): 0.601
Energy relative to the lowest polymorph listed for this composition (eV/f.u.): 3.30
DFT total energy (eV per atom): -3.913

Among the records above, which one has the lowest formation energy (no corrections)? BeSiSe2